Record 1
VASP calculation (PBE) on SbPRuO2 after structural relaxation.

Lattice parameters (Å, degrees): 3.8590 3.8590 5.1688 90.00 90.00 90.00
With the nearest neighbours (Å) after each atom.
Element x y z (fractional)
O: 0.5000 0.0000 0.0000  2 Ru 1.93
Sb: 0.5000 0.5000 0.5000  4 P 2.73
O: 0.0000 0.5000 0.0000  2 Ru 1.93
Ru: 0.0000 0.0000 0.0000  4 O 1.93
P: 0.0000 0.0000 0.5000  2 Ru 2.58, 4 Sb 2.73

Output
**E_form (uncorrected)**: -0.23 eV per atom
**V**: 15.395 Å³ per atom
**Energy above the most stable polymorph in this dataset**: 0.0 meV per atom


Record 2
VASP calculation (PBE) on SeBrN3 after structural relaxation.

Lattice parameters (Å, degrees): 3.9334 3.9334 3.9334 90.00 90.00 90.00
With the nearest neighbours (Å) after each atom.
Element x y z (fractional)
N: 0.0000 0.5000 0.0000  2 Br 1.97
Se: 0.5000 0.5000 0.5000  12 N 2.78
N: 0.5000 0.0000 0.0000  2 Br 1.97
Br: 0.0000 0.0000 0.0000  6 N 1.97
N: 0.0000 0.0000 0.5000  2 Br 1.97

Output
**E_form (uncorrected)**: 2.89 eV per atom
**V**: 12.171 Å³ per atom


Q: Among the records above, which one has the highest V?
A: SbPRuO2


Please write out number 1 again, unchanged.
VASP calculation (PBE) on SbPRuO2 after structural relaxation.

Lattice parameters (Å, degrees): 3.8590 3.8590 5.1688 90.00 90.00 90.00
With the nearest neighbours (Å) after each atom.
Element x y z (fractional)
O: 0.5000 0.0000 0.0000  2 Ru 1.93
Sb: 0.5000 0.5000 0.5000  4 P 2.73
O: 0.0000 0.5000 0.0000  2 Ru 1.93
Ru: 0.0000 0.0000 0.0000  4 O 1.93
P: 0.0000 0.0000 0.5000  2 Ru 2.58, 4 Sb 2.73

Output
**E_form (uncorrected)**: -0.23 eV per atom
**V**: 15.395 Å³ per atom
**Energy above the most stable polymorph in this dataset**: 0.0 meV per atom


Q: Among the records above, which one has the lowest E_form (uncorrected)?
A: SbPRuO2


Q: Number 2 is which compound?
A: SeBrN3